First-principles (meta-GGA SCAN) data for a PBEsol-optimized structure of Sc3Co2, as listed in Alexandria.

Geometry as POSCAR:
```
Sc3Co2
1.0
-0.542 4.228 0.628
-2.151 -2.832 2.432
3.987 -0.010 3.515
Sc Co
3 2
Direct
0.000 0.000 0.000
0.333 0.667 0.337
0.667 0.333 0.663
0.333 0.667 0.850
0.667 0.333 0.150
```

Symmetry: P-3m1
DFT total energy: -1.1469 Ry/atom
Volume: 17.1 Å³/atom
Formation enthalpy at 0 K: -0.70 eV/f.u.
DOS at the Fermi energy: 3.8 states/eV/cell

=====

First-principles (meta-GGA SCAN) data for a PBEsol-optimized structure of ScCoSe3, as listed in Alexandria.

Geometry as POSCAR:
```
ScCoSe3
1.0
-4.210 1.573 2.244
-0.620 -4.554 2.029
2.669 1.423 4.011
Sc Co Se
1 1 3
Direct
0.000 0.000 0.000
0.500 0.500 0.500
0.000 0.500 0.000
0.000 0.000 0.500
0.500 0.000 0.000
```

Symmetry: Pm-3m
DFT total energy: -1.3469 Ry/atom
Volume: 25.4 Å³/atom
DOS at the Fermi energy: 3.3 states/eV/cell
Formation energy from raw total energies: 0.030 eV/atom

=====

First-principles (meta-GGA SCAN) data for a PBEsol-optimized structure of Sc5Co4Si10, as listed in Alexandria.

Geometry as POSCAR:
```
Sc5Co4Si10
1.0
-2.711 -1.061 -2.588
-0.130 -10.947 4.626
-8.533 3.306 7.584
Co Sc Si
8 10 20
Direct
0.000 0.254 0.525
0.000 0.746 0.475
0.000 0.475 0.254
0.000 0.525 0.746
0.000 0.246 0.025
0.000 0.754 0.975
0.000 0.025 0.754
0.000 0.975 0.246
0.000 0.000 0.000
0.000 0.500 0.500
0.500 0.177 0.677
0.500 0.823 0.323
0.500 0.323 0.177
0.500 0.677 0.823
0.500 0.389 0.889
0.500 0.611 0.111
0.500 0.111 0.389
0.500 0.889 0.611
0.000 0.069 0.569
0.000 0.931 0.431
0.000 0.431 0.069
0.000 0.569 0.931
0.000 0.156 0.198
0.000 0.844 0.802
0.000 0.802 0.156
0.000 0.198 0.844
0.000 0.344 0.698
0.000 0.656 0.302
0.000 0.698 0.656
0.000 0.302 0.344
0.500 0.165 0.001
0.500 0.835 0.999
0.500 0.999 0.165
0.500 0.001 0.835
0.500 0.335 0.501
0.500 0.665 0.499
0.500 0.501 0.665
0.500 0.499 0.335
```

Symmetry: P4/mbm
DFT total energy: -0.9827 Ry/atom
Volume: 14.5 Å³/atom
DOS at the Fermi energy: 16.7 states/eV/cell
Formation energy from raw total energies: -0.709 eV/atom

=====

First-principles (meta-GGA SCAN) data for a PBEsol-optimized structure of Sc3Co2Si3, as listed in Alexandria.

Geometry as POSCAR:
```
Sc3Co2Si3
1.0
3.886 0.000 0.000
-1.943 4.915 0.000
0.000 0.000 12.683
Co Sc Si
4 6 6
Direct
0.716 0.432 0.583
0.284 0.568 0.083
0.716 0.432 0.917
0.284 0.568 0.417
0.421 0.841 0.613
0.579 0.159 0.113
0.421 0.841 0.887
0.579 0.159 0.387
0.143 0.285 0.750
0.857 0.715 0.250
0.114 0.228 0.541
0.886 0.772 0.041
0.114 0.228 0.959
0.886 0.772 0.459
0.836 0.672 0.750
0.164 0.328 0.250
```

Symmetry: Cmcm
DFT total energy: -1.0455 Ry/atom
Volume: 15.1 Å³/atom
DOS at the Fermi energy: 9.1 states/eV/cell
Formation energy from raw total energies: -0.804 eV/atom